Computed, not measured: an optimized crystal structure of ReP2PbCl at the PBE level of DFT.

Cell: 4.6141 4.6141 5.2395 Å, 90.00 90.00 90.00°
Last column: nearest neighbours and their distance in Å.
Atoms (fractional coordinates):
Cl (0.0000, 0.0000, 0.5000)  2 Re 2.62
P (0.0000, 0.5000, 0.0000)  2 Re 2.31
Re (0.0000, 0.0000, 0.0000)  4 P 2.31
Pb (0.5000, 0.5000, 0.5000)  4 Cl 3.26, 8 P 3.49
P (0.5000, 0.0000, 0.0000)  2 Re 2.31

Electronic total energy, eV per atom: -5.517
Space group: P4/mmm (123)
Magnetization, μB per formula unit: 0.000
Fermi-level density of states, states/eV/f.u.: 3.57